A) First-principles (PBE) data for Ce2ThGe after structural relaxation, as listed in Alexandria.

Cell: 4.8451 4.5950 4.5950 Å, 90.00 90.00 90.00°
With the nearest neighbours (Å) after each atom.
Sites, in units of the cell vectors:
Ge  0.5000  0.5000  0.5000  4 Th 3.25, 8 Ce 3.34
Ce  0.0000  0.0000  0.5000  4 Ce 3.25, 4 Ge 3.34, 4 Th 3.34
Ce  0.0000  0.5000  0.0000  4 Ce 3.25, 4 Ge 3.34, 4 Th 3.34
Th  0.5000  0.0000  0.0000  4 Ge 3.25, 8 Ce 3.34

Properties
Mass density: 9.5 g cm⁻³
Spin magnetization: 0.328 μB per atom
V: 102 Å³ per cell

B) First-principles (PBE) data for Ce2ThGe after structural relaxation, as listed in Alexandria.

Cell: 3.8123 3.8123 9.9711 Å, 76.22 76.22 53.85°
With the nearest neighbours (Å) after each atom.
Sites, in units of the cell vectors:
Ce  0.0869  0.0869  0.7867  3 Ge 2.94-2.97, 1 Th 3.13
Ce  0.2959  0.2959  0.2115  3 Ge 2.95-2.96, 1 Th 3.24
Th  0.4243  0.4243  0.5024  2 Ce 3.13-3.24, 2 Th 3.45
Ge  0.6929  0.6929  0.9994  6 Ce 2.94-2.97

Properties
Mass density: 8.6 g cm⁻³
Spin magnetization: 0.000 μB per atom
V: 113 Å³ per cell

Stability, highest: A)

A) First-principles (PBE) data for CeThGe4 after structural relaxation, as listed in Alexandria.

Cell: 5.6463 5.6463 5.6463 Å, 60.00 60.00 60.00°
With the nearest neighbours (Å) after each atom.
Sites, in units of the cell vectors:
Ge  0.6253  0.6253  0.1241  6 Ge 2.82-2.83
Ge  0.6253  0.1241  0.6253  6 Ge 2.82-2.83
Ge  0.6253  0.6253  0.6253  6 Ge 2.82-2.83
Ge  0.1241  0.6253  0.6253  6 Ge 2.82-2.83
Ce  0.0000  0.0000  0.0000  12 Ge 3.31, 4 Th 3.46
Th  0.2500  0.2500  0.2500  12 Ge 3.31, 4 Ce 3.46

Properties
Mass density: 8.6 g cm⁻³
Spin magnetization: 0.086 μB per atom
V: 127 Å³ per cell

B) First-principles (PBE) data for CeThGe4 after structural relaxation, as listed in Alexandria.

Cell: 4.0660 4.0660 8.7690 Å, 103.41 103.41 90.00°
With the nearest neighbours (Å) after each atom.
Sites, in units of the cell vectors:
Ce  0.2500  0.7500  0.5000  12 Ge 3.16-3.46
Th  0.0000  0.0000  0.0000  12 Ge 3.17-3.49
Ge  0.6715  0.1715  0.3431  3 Ge 2.53-2.60
Ge  0.5809  0.5809  0.1618  3 Ge 2.53-2.68
Ge  0.8285  0.3285  0.6569  3 Ge 2.53-2.60
Ge  0.4191  0.4191  0.8382  3 Ge 2.53-2.68

Properties
Mass density: 8.0 g cm⁻³
Spin magnetization: 0.101 μB per atom
V: 137 Å³ per cell

Stability, highest: B)

A) First-principles (PBE) data for CeTi2Ge after structural relaxation, as listed in Alexandria.

Cell: 4.5818 4.5818 4.8404 Å, 61.75 61.75 60.00°
With the nearest neighbours (Å) after each atom.
Sites, in units of the cell vectors:
Ge  0.5000  0.5000  0.5000  6 Ti 2.74
Ce  0.0000  0.0000  0.0000  8 Ti 2.76-2.95
Ti  0.7732  0.7732  0.6803  3 Ge 2.74, 4 Ce 2.76-2.95, 3 Ti 3.02
Ti  0.2268  0.2268  0.3197  3 Ge 2.74, 4 Ce 2.76-2.95, 3 Ti 3.02

Properties
Mass density: 7.0 g cm⁻³
Spin magnetization: 0.000 μB per atom
V: 74 Å³ per cell

B) First-principles (PBE) data for CeTi2Ge after structural relaxation, as listed in Alexandria.

Cell: 3.7396 4.4117 4.4117 Å, 90.00 90.00 90.00°
With the nearest neighbours (Å) after each atom.
Sites, in units of the cell vectors:
Ge  0.5000  0.5000  0.5000  8 Ti 2.89, 4 Ce 3.12
Ce  0.5000  0.0000  0.0000  8 Ti 2.89, 4 Ge 3.12
Ti  0.0000  0.0000  0.5000  4 Ce 2.89, 4 Ge 2.89, 4 Ti 3.12
Ti  0.0000  0.5000  0.0000  4 Ge 2.89, 4 Ce 2.89, 4 Ti 3.12

Properties
Mass density: 7.0 g cm⁻³
Spin magnetization: 0.000 μB per atom
V: 73 Å³ per cell

Stability, highest: B)

A) First-principles (PBE) data for Ce2TiGe after structural relaxation, as listed in Alexandria.

Cell: 3.0485 3.0485 10.8956 Å, 81.96 81.96 60.00°
With the nearest neighbours (Å) after each atom.
Sites, in units of the cell vectors:
Ge  0.5000  0.5000  0.5000  6 Ge 3.05, 6 Ce 3.15
Ce  0.0856  0.0856  0.7433  1 Ti 2.76, 6 Ce 3.05
Ce  0.9144  0.9144  0.2567  1 Ti 2.76, 6 Ce 3.05
Ti  0.0000  0.0000  0.0000  2 Ce 2.76, 6 Ti 3.05

Properties
Mass density: 7.7 g cm⁻³
Spin magnetization: 0.223 μB per atom
V: 87 Å³ per cell

B) First-principles (PBE) data for Ce2TiGe after structural relaxation, as listed in Alexandria.

Cell: 4.6698 4.2457 4.2457 Å, 90.00 90.00 90.00°
With the nearest neighbours (Å) after each atom.
Sites, in units of the cell vectors:
Ge  0.5000  0.0000  0.0000  4 Ti 3.00, 8 Ce 3.16
Ce  0.0000  0.0000  0.5000  4 Ce 3.00, 4 Ge 3.16, 4 Ti 3.16
Ce  0.0000  0.5000  0.0000  4 Ce 3.00, 4 Ge 3.16, 4 Ti 3.16
Ti  0.5000  0.5000  0.5000  4 Ge 3.00, 8 Ce 3.16

Properties
Mass density: 7.9 g cm⁻³
Spin magnetization: 0.000 μB per atom
V: 84 Å³ per cell

Stability, highest: B)